# V2CuF

A relaxed V2CuF crystal (PBE with a Hubbard U, the Alexandria database).

Unit cell a=5.515 b=5.515 c=5.515 alpha=111.17 beta=111.17 gamma=106.12
Atoms (fractional coordinates):
V 0.072 0.625 0.947
V 0.375 0.322 0.447
V 0.678 0.125 0.053
V 0.875 0.928 0.553
Cu 0.250 0.750 0.500
Cu 0.500 0.500 0.000
F 0.000 0.000 0.000
F 0.750 0.250 0.500

**DOS(E_F)**: 0.171 states/eV/atom
**Excess energy over the best structure of this formula in the dataset**: 0 meV/atom
**Energy**: -41.21 eV per cell

=====

# VCuF2

A relaxed VCuF2 crystal (PBE with a Hubbard U, the Alexandria database).

Unit cell a=6.935 b=6.935 c=6.935 alpha=141.57 beta=141.57 gamma=55.47
Atoms (fractional coordinates):
V 0.000 0.000 0.000
V 0.750 0.250 0.500
Cu 0.250 0.750 0.500
Cu 0.500 0.500 0.000
F 0.046 0.625 0.921
F 0.375 0.296 0.421
F 0.704 0.125 0.079
F 0.875 0.954 0.579

**DOS(E_F)**: 0.226 states/eV/atom
**Excess energy over the best structure of this formula in the dataset**: 134 meV/atom
**Energy**: -38.73 eV per cell

=====

# VCuF3

A relaxed VCuF3 crystal (PBE with a Hubbard U, the Alexandria database).

Unit cell a=4.050 b=4.050 c=4.050 alpha=90.00 beta=90.00 gamma=90.00
Atoms (fractional coordinates):
V 0.000 0.000 0.000
Cu 0.500 0.500 0.500
F 0.000 0.500 0.500
F 0.500 0.000 0.500
F 0.500 0.500 0.000

**DOS(E_F)**: 1.799 states/eV/atom
**Excess energy over the best structure of this formula in the dataset**: 627 meV/atom
**Energy**: -22.67 eV per cell

=====

# V2CuF

A relaxed V2CuF crystal (PBE with a Hubbard U, the Alexandria database).

Unit cell a=4.387 b=4.387 c=4.387 alpha=60.00 beta=60.00 gamma=60.00
Atoms (fractional coordinates):
V 0.250 0.250 0.250
V 0.750 0.750 0.750
Cu 0.000 0.000 0.000
F 0.500 0.500 0.500

**DOS(E_F)**: 0.722 states/eV/atom
**Excess energy over the best structure of this formula in the dataset**: 396 meV/atom
**Energy**: -19.02 eV per cell

=====

# VCuF

A relaxed VCuF crystal (PBE with a Hubbard U, the Alexandria database).

Unit cell a=13.281 b=2.695 c=2.695 alpha=63.07 beta=90.00 gamma=90.00
Atoms (fractional coordinates):
V 0.163 0.000 0.000
V 0.837 0.000 0.000
Cu 0.000 0.637 0.637
Cu 0.500 0.725 0.725
F 0.264 0.658 0.658
F 0.736 0.658 0.658

**DOS(E_F)**: 0.454 states/eV/atom
**Energy**: -29.63 eV per cell

=====

# VCuF2

A relaxed VCuF2 crystal (PBE with a Hubbard U, the Alexandria database).

Unit cell a=4.093 b=4.093 c=4.093 alpha=60.00 beta=60.00 gamma=60.00
Atoms (fractional coordinates):
V 0.000 0.000 0.000
Cu 0.500 0.500 0.500
F 0.250 0.250 0.250
F 0.750 0.750 0.750

**DOS(E_F)**: 0.747 states/eV/atom
**Excess energy over the best structure of this formula in the dataset**: 452 meV/atom
**Energy**: -18.09 eV per cell

=====

# VCu3F

A relaxed VCu3F crystal (PBE with a Hubbard U, the Alexandria database).

Unit cell a=4.182 b=4.182 c=4.182 alpha=90.00 beta=90.00 gamma=90.00
Atoms (fractional coordinates):
V 0.000 0.000 0.000
Cu 0.000 0.500 0.500
Cu 0.500 0.000 0.500
Cu 0.500 0.500 0.000
F 0.500 0.500 0.500

**DOS(E_F)**: 0.748 states/eV/atom
**Excess energy over the best structure of this formula in the dataset**: 0 meV/atom
**Energy**: -19.43 eV per cell

=====

# VCu2F8

A relaxed VCu2F8 crystal (PBE with a Hubbard U, the Alexandria database).

Unit cell a=5.603 b=5.603 c=4.479 alpha=90.51 beta=90.51 gamma=74.90
Atoms (fractional coordinates):
V 0.000 0.000 0.000
Cu 0.381 0.381 0.749
Cu 0.619 0.619 0.251
F 0.097 0.702 0.786
F 0.167 0.167 0.733
F 0.298 0.903 0.214
F 0.407 0.407 0.257
F 0.593 0.593 0.743
F 0.702 0.097 0.786
F 0.833 0.833 0.267
F 0.903 0.298 0.214

**DOS(E_F)**: 0.309 states/eV/atom
**Energy**: -52.46 eV per cell

=====

# VCuF3

A relaxed VCuF3 crystal (PBE with a Hubbard U, the Alexandria database).

Unit cell a=4.088 b=4.088 c=4.088 alpha=90.00 beta=90.00 gamma=90.00
Atoms (fractional coordinates):
V 0.000 0.000 0.000
Cu 0.500 0.500 0.500
F 0.000 0.000 0.500
F 0.000 0.500 0.000
F 0.500 0.000 0.000

**DOS(E_F)**: 0.530 states/eV/atom
**Excess energy over the best structure of this formula in the dataset**: 0 meV/atom
**Energy**: -25.81 eV per cell

=====

# VCu3F

A relaxed VCu3F crystal (PBE with a Hubbard U, the Alexandria database).

Unit cell a=4.678 b=4.678 c=4.678 alpha=90.00 beta=90.00 gamma=90.00
Atoms (fractional coordinates):
V 0.000 0.000 0.000
Cu 0.000 0.000 0.500
Cu 0.000 0.500 0.000
Cu 0.500 0.000 0.000
F 0.500 0.500 0.500

**DOS(E_F)**: 1.056 states/eV/atom
**Excess energy over the best structure of this formula in the dataset**: 874 meV/atom
**Energy**: -15.06 eV per cell

=====

# VCuF2

A relaxed VCuF2 crystal (PBE with a Hubbard U, the Alexandria database).

Unit cell a=9.086 b=9.086 c=9.086 alpha=17.53 beta=17.53 gamma=17.53
Atoms (fractional coordinates):
V 0.000 0.000 0.000
Cu 0.500 0.500 0.500
F 0.384 0.384 0.384
F 0.616 0.616 0.616

**DOS(E_F)**: 0.575 states/eV/atom
**Excess energy over the best structure of this formula in the dataset**: 0 meV/atom
**Energy**: -19.90 eV per cell

=====

# YVCu2F

A relaxed YVCu2F crystal (PBE with a Hubbard U, the Alexandria database).

Unit cell a=4.911 b=4.911 c=3.941 alpha=90.00 beta=90.00 gamma=90.00
Atoms (fractional coordinates):
Y 0.000 0.000 0.000
V 0.500 0.500 0.500
Cu 0.000 0.500 0.500
Cu 0.500 0.000 0.500
F 0.500 0.500 0.000

**DOS(E_F)**: 0.551 states/eV/atom
**Energy**: -25.17 eV per cell

=====

> Which of these has the highest DOS(E_F)?

number 3

=====

> Look up the DOS(E_F) of the second one.

0.226 states/eV/atom

=====

> What is the energy in the seventh record?

-19.43 eV per cell